First-principles (PBE) data for a relaxed TbNdIn crystal, as listed in Alexandria.

Cell and atoms, written as POSCAR:
```
TbNdIn
1.0
-1.7623 1.7623 14.9880
1.7623 -1.7623 14.9880
1.7623 1.7623 -14.9880
Tb Nd In
2 2 2
Cartesian
0.0000 0.0000 6.1679 Tb
0.0000 0.0000 23.8081 Tb
0.0000 0.0000 1.8205 Nd
0.0000 0.0000 28.1555 Nd
0.0000 0.0000 11.0066 In
0.0000 0.0000 18.9694 In
```

V = 31.0 A^3/atom
offset from the most stable computed form = 68 meV per atom
symmetry = No. 139
energy = -4.2740 eV/atom

***

First-principles (PBE) data for a relaxed Tb3NdIn3 crystal, as listed in Alexandria.

Cell and atoms, written as POSCAR:
```
Tb3NdIn3
1.0
9.4126 0.0000 0.0000
0.0000 9.4126 0.0000
0.0000 0.0000 9.4126
Tb Nd In
12 4 12
Cartesian
0.7750 3.9313 5.4813 Tb
1.6624 7.7502 3.0439 Tb
1.6748 1.6748 1.6748 Tb
3.0314 7.7377 6.3811 Tb
3.0439 1.6624 7.7502 Tb
3.9313 5.4813 0.7750 Tb
5.4813 0.7750 3.9313 Tb
6.3687 6.3687 6.3687 Tb
6.3811 3.0314 7.7377 Tb
7.7377 6.3811 3.0314 Tb
7.7502 3.0439 1.6624 Tb
8.6376 8.6376 8.6376 Tb
0.6675 5.3738 8.7451 Nd
4.0388 4.0388 4.0388 Nd
5.3738 8.7451 0.6675 Nd
8.7451 0.6675 5.3738 Nd
0.0077 6.9791 5.8174 In
1.1111 4.6986 2.4335 In
2.2728 8.3015 9.4049 In
2.4335 1.1111 4.6986 In
3.5952 4.7140 7.1398 In
4.6986 2.4335 1.1111 In
4.7140 7.1398 3.5952 In
5.8174 0.0077 6.9791 In
6.9791 5.8174 0.0077 In
7.1398 3.5952 4.7140 In
8.3015 9.4049 2.2728 In
9.4049 2.2728 8.3015 In
```

V = 29.8 A^3/atom
offset from the most stable computed form = 36 meV per atom
symmetry = No. 198
energy = -4.1638 eV/atom

***

First-principles (PBE) data for a relaxed TbNd5In5 crystal, as listed in Alexandria.

Cell and atoms, written as POSCAR:
```
TbNd5In5
1.0
9.0497 -2.9211 0.0000
9.0497 2.9211 0.0000
-2.7098 0.0000 6.4833
Tb Nd In
1 5 5
Cartesian
0.0000 0.0000 0.0000 Tb
-1.3549 0.0000 3.2417 Nd
3.4457 0.0000 5.2537 Nd
5.5851 0.0000 2.3384 Nd
9.8044 0.0000 4.1449 Nd
11.9438 0.0000 1.2297 Nd
1.9099 0.0000 2.5003 In
0.4060 0.0000 6.1018 In
9.0497 0.0000 0.0000 In
14.9836 0.0000 0.3815 In
13.4796 0.0000 3.9831 In
```

V = 31.2 A^3/atom
symmetry = No. 12
energy = -4.0742 eV/atom

***

First-principles (PBE) data for a relaxed Tb2Nd3In7 crystal, as listed in Alexandria.

Cell and atoms, written as POSCAR:
```
Tb2Nd3In7
1.0
2.6172 -12.5455 0.0000
2.6172 12.5455 0.0000
0.0000 0.0000 5.4733
Tb Nd In
2 3 7
Cartesian
2.6172 8.9310 0.0000 Tb
2.6172 -8.9310 0.0000 Tb
2.6172 3.9820 2.7367 Nd
2.6172 0.0000 2.7367 Nd
2.6172 -3.9820 2.7367 Nd
0.0000 0.0000 0.0000 In
2.6172 10.5495 2.7367 In
2.6172 5.7001 0.0000 In
2.6172 1.8675 0.0000 In
2.6172 -1.8675 0.0000 In
2.6172 -5.7001 0.0000 In
2.6172 -10.5495 2.7367 In
```

V = 30.0 A^3/atom
symmetry = No. 65
energy = -3.7987 eV/atom

***

First-principles (PBE) data for a relaxed TbNdIn crystal, as listed in Alexandria.

Cell and atoms, written as POSCAR:
```
TbNdIn
1.0
5.3005 0.0000 0.0000
-2.6502 4.5904 0.0000
0.0000 0.0000 3.7176
Tb Nd In
1 1 1
Cartesian
0.0000 0.0000 0.0000 Tb
2.6502 1.5301 2.0753 Nd
0.0000 3.0602 0.7778 In
```

V = 30.2 A^3/atom
offset from the most stable computed form = 55 meV per atom
symmetry = No. 156
energy = -4.2867 eV/atom

***

First-principles (PBE) data for a relaxed Tb3NdIn3 crystal, as listed in Alexandria.

Cell and atoms, written as POSCAR:
```
Tb3NdIn3
1.0
9.4949 0.0000 0.0000
-4.7474 8.2228 0.0000
0.0000 0.0000 5.1792
Tb Nd In
6 2 6
Cartesian
-1.1006 1.9248 1.2948 Tb
-2.5302 8.2136 1.2948 Tb
1.1166 1.9156 3.8844 Tb
3.6309 6.3072 1.2948 Tb
7.2777 0.0092 3.8844 Tb
5.8481 6.2980 3.8844 Tb
0.0000 5.4819 3.8844 Nd
4.7474 2.7409 1.2948 Nd
-2.2783 5.0661 1.2948 In
1.4992 3.7167 1.2948 In
3.9683 0.5600 3.8844 In
0.7791 7.6628 1.2948 In
3.2482 4.5062 3.8844 In
7.0258 3.1567 3.8844 In
```

V = 28.9 A^3/atom
offset from the most stable computed form = 0 meV per atom
symmetry = No. 176
energy = -4.1995 eV/atom

***

First-principles (PBE) data for a relaxed TbNdIn2 crystal, as listed in Alexandria.

Cell and atoms, written as POSCAR:
```
TbNdIn2
1.0
3.8247 0.0000 0.0000
0.0000 3.8247 0.0000
0.0000 0.0000 7.6453
Tb Nd In
1 1 2
Cartesian
0.0000 0.0000 0.0000 Tb
0.0000 0.0000 3.8226 Nd
1.9124 1.9124 1.8280 In
1.9124 1.9124 5.8172 In
```

V = 28.0 A^3/atom
symmetry = No. 123
energy = -4.2082 eV/atom

***

First-principles (PBE) data for a relaxed Tb2Nd2In7 crystal, as listed in Alexandria.

Cell and atoms, written as POSCAR:
```
Tb2Nd2In7
1.0
4.3868 -5.4753 0.0000
4.3868 5.4753 0.0000
0.0000 0.0000 7.3040
Tb Nd In
2 2 7
Cartesian
4.3868 3.2494 0.0000 Tb
4.3868 -3.2494 0.0000 Tb
2.8024 0.0000 3.6520 Nd
5.9712 0.0000 3.6520 Nd
0.0000 0.0000 2.1777 In
0.0000 0.0000 5.1264 In
2.1934 2.7376 2.1441 In
2.1934 2.7376 5.1600 In
2.1934 -2.7376 2.1441 In
2.1934 -2.7376 5.1600 In
4.3868 0.0000 0.0000 In
```

V = 31.9 A^3/atom
symmetry = No. 65
energy = -3.4579 eV/atom

***

First-principles (PBE) data for a relaxed Tb3NdIn2 crystal, as listed in Alexandria.

Cell and atoms, written as POSCAR:
```
Tb3NdIn2
1.0
3.4453 0.0000 0.0000
0.0000 4.5775 0.0000
0.0000 0.0000 11.3311
Tb Nd In
3 1 2
Cartesian
0.0000 0.0000 0.0000 Tb
0.0000 0.0000 3.1299 Tb
0.0000 2.2888 8.9035 Tb
0.0000 2.2888 5.6971 Nd
1.7226 0.0000 7.4422 In
1.7226 2.2888 1.5574 In
```

V = 29.8 A^3/atom
offset from the most stable computed form = 219 meV per atom
symmetry = No. 25
energy = -4.1582 eV/atom

***

First-principles (PBE) data for a relaxed Tb2Nd2In3 crystal, as listed in Alexandria.

Cell and atoms, written as POSCAR:
```
Tb2Nd2In3
1.0
3.9868 0.0000 0.0000
1.9894 6.2175 0.0000
1.9771 2.6819 8.4519
Tb Nd In
2 2 3
Cartesian
0.9942 0.8276 1.4863 Tb
6.9591 8.0719 6.9656 Tb
2.9874 2.9482 3.8144 Nd
4.9659 5.9512 4.6376 Nd
2.9724 4.3945 6.7237 In
2.9881 3.1088 0.0000 In
4.9810 4.5049 1.7282 In
```

V = 29.9 A^3/atom
offset from the most stable computed form = 29 meV per atom
symmetry = No. 2
energy = -4.1476 eV/atom

***

First-principles (PBE) data for a relaxed TbNd12In3 crystal, as listed in Alexandria.

Cell and atoms, written as POSCAR:
```
TbNd12In3
1.0
5.0033 0.0000 0.0000
0.0000 5.0033 0.0000
0.0000 0.0000 20.3927
Tb Nd In
1 12 3
Cartesian
0.0000 0.0000 0.0000 Tb
0.0000 2.5017 2.6756 Nd
0.0000 2.5017 7.6911 Nd
0.0000 2.5017 12.7016 Nd
0.0000 2.5017 17.7171 Nd
2.5017 0.0000 2.6756 Nd
2.5017 0.0000 7.6911 Nd
2.5017 0.0000 12.7016 Nd
2.5017 0.0000 17.7171 Nd
2.5017 2.5017 0.0000 Nd
2.5017 2.5017 5.1934 Nd
2.5017 2.5017 10.1963 Nd
2.5017 2.5017 15.1993 Nd
0.0000 0.0000 5.2174 In
0.0000 0.0000 10.1963 In
0.0000 0.0000 15.1753 In
```

V = 31.9 A^3/atom
symmetry = No. 123
energy = -4.5761 eV/atom

***

First-principles (PBE) data for a relaxed Tb5Nd5In2 crystal, as listed in Alexandria.

Cell and atoms, written as POSCAR:
```
Tb5Nd5In2
1.0
7.6089 -2.4395 0.0000
7.6089 2.4395 0.0000
-0.0008 0.0000 10.0532
Tb Nd In
5 5 2
Cartesian
0.0000 0.0000 0.0000 Tb
2.6180 0.0000 2.5314 Tb
5.0209 0.0000 5.0086 Tb
10.1961 0.0000 5.0446 Tb
12.5990 0.0000 7.5217 Tb
-0.0004 0.0000 5.0266 Nd
5.0491 0.0000 0.0134 Nd
7.5169 0.0000 2.5101 Nd
7.7002 0.0000 7.5430 Nd
10.1679 0.0000 10.0398 Nd
2.5942 0.0000 7.5070 In
12.6228 0.0000 2.5462 In
```

V = 31.1 A^3/atom
offset from the most stable computed form = 0 meV per atom
symmetry = No. 12
energy = -4.5078 eV/atom

***

- Look up the V of the fourth one.
  30.0 A^3/atom

***

Repeat the twelfth record exactly.
First-principles (PBE) data for a relaxed Tb5Nd5In2 crystal, as listed in Alexandria.

Cell and atoms, written as POSCAR:
```
Tb5Nd5In2
1.0
7.6089 -2.4395 0.0000
7.6089 2.4395 0.0000
-0.0008 0.0000 10.0532
Tb Nd In
5 5 2
Cartesian
0.0000 0.0000 0.0000 Tb
2.6180 0.0000 2.5314 Tb
5.0209 0.0000 5.0086 Tb
10.1961 0.0000 5.0446 Tb
12.5990 0.0000 7.5217 Tb
-0.0004 0.0000 5.0266 Nd
5.0491 0.0000 0.0134 Nd
7.5169 0.0000 2.5101 Nd
7.7002 0.0000 7.5430 Nd
10.1679 0.0000 10.0398 Nd
2.5942 0.0000 7.5070 In
12.6228 0.0000 2.5462 In
```

V = 31.1 A^3/atom
offset from the most stable computed form = 0 meV per atom
symmetry = No. 12
energy = -4.5078 eV/atom

***

- Look up the V of the first one.
  31.0 A^3/atom